[1]
Below is crystalline TaMnCo2 at its relaxed geometry, with properties calculated at the GGA-PBE level.

Energy of formation from the pure elements   0.223 eV per atom
Spin magnetization   5.780 μB/f.u.
Electronic total energy   -8.5854 eV per atom
ρ   10.77 Mg/m³

Cell: 2.7665 2.7665 24.6810 Å, 90.00 90.00 120.00°
Last column: nearest neighbours and their distance in Å.
Space group R-3m (No. 166, hexagonal axes)
Asymmetric unit:
Ta  0.0000  0.0000  0.0000 [3 per cell]  6 Co 2.68, 6 Ta 2.77
Mn  0.0000  0.0000  0.5000 [3 per cell]  6 Co 2.53, 6 Mn 2.77
Co  0.0000  0.0000  0.2464 [6 per cell]  3 Mn 2.53, 3 Ta 2.68, 6 Co 2.77

=====

[2]
Below is crystalline LiNd3U3Te8 at its relaxed geometry, with properties calculated at the GGA-PBE level.

ΔE_f (raw)   -0.969 eV per atom
Spin magnetization   8.562 μB/f.u.
Electronic total energy   -5.9836 eV per atom
ρ   7.41 Mg/m³

Cell: 8.7547 8.7547 22.0177 Å, 90.00 90.00 120.00°
Last column: nearest neighbours and their distance in Å.
Space group R-3m (No. 166, hexagonal axes)
Asymmetric unit:
Li  0.0000  0.0000  0.0000 [3 per cell]  6 Te 3.10
Nd  0.0000  0.5000  0.5000 [9 per cell]  6 Te 3.15-3.16
U  0.0000  0.5000  0.0000 [9 per cell]  6 Te 3.09-3.10
Te  0.0000  0.0000  0.2521 [6 per cell]  3 U 3.10, 3 Nd 3.15
Te  0.0014  0.5007  0.2526 [18 per cell]  2 U 3.09, 1 Li 3.10, 2 Nd 3.16

=====

[3]
Below is crystalline HfAsP3 at its relaxed geometry, with properties calculated at the GGA-PBE level.

Energy of formation from the pure elements   0.670 eV per atom
Spin magnetization   0.000 μB/f.u.
Electronic total energy   -5.4962 eV per atom
ρ   5.89 Mg/m³

Cell: 4.6050 4.6050 4.6050 Å, 90.00 90.00 90.00°
Last column: nearest neighbours and their distance in Å.
Space group Pm-3m (No. 221)
Asymmetric unit:
Hf  0.0000  0.0000  0.0000 [1 per cell]  12 P 3.26
As  0.5000  0.5000  0.5000 [1 per cell]  6 P 2.30
P  0.0000  0.5000  0.5000 [3 per cell]  2 As 2.30

=====

[4]
Below is crystalline KAg2BiW at its relaxed geometry, with properties calculated at the GGA-PBE level.

Energy of formation from the pure elements   1.583 eV per atom
Spin magnetization   3.198 μB/f.u.
Electronic total energy   -3.1441 eV per atom
ρ   6.57 Mg/m³

Cell: 5.2803 5.2803 5.8718 Å, 90.00 90.00 90.00°
Last column: nearest neighbours and their distance in Å.
Space group P4/mmm (No. 123)
Asymmetric unit:
K  0.0000  0.0000  0.0000 [1 per cell]  2 W 2.94
Ag  0.0000  0.5000  0.5000 [2 per cell]  2 W 2.64
Bi  0.5000  0.5000  0.0000 [1 per cell]  4 K 3.73, 8 Ag 3.95
W  0.0000  0.0000  0.5000 [1 per cell]  4 Ag 2.64, 2 K 2.94

=====

[5]
Below is crystalline ScSe2SN at its relaxed geometry, with properties calculated at the GGA-PBE level.

ΔE_f (raw)   0.238 eV per atom
Spin magnetization   0.047 μB/f.u.
Electronic total energy   -4.9128 eV per atom
ρ   4.73 Mg/m³

Cell: 5.0217 5.0217 3.4658 Å, 90.00 90.00 90.00°
Last column: nearest neighbours and their distance in Å.
Space group P4/mmm (No. 123)
Asymmetric unit:
Sc  0.0000  0.0000  0.0000 [1 per cell]  8 Se 3.05
Se  0.0000  0.5000  0.5000 [2 per cell]  2 S 2.51
S  0.5000  0.5000  0.5000 [1 per cell]  2 N 1.73
N  0.5000  0.5000  0.0000 [1 per cell]  2 S 1.73

=====

[6]
Below is crystalline SbPIr2 at its relaxed geometry, with properties calculated at the GGA-PBE level.

ΔE_f (raw)   0.322 eV per atom
Spin magnetization   0.000 μB/f.u.
Electronic total energy   -6.4914 eV per atom
ρ   13.79 Mg/m³

Cell: 4.2697 4.2697 7.0956 Å, 90.00 90.00 90.00°
Last column: nearest neighbours and their distance in Å.
Space group I4/mmm (No. 139)
Asymmetric unit:
Sb  0.0000  0.0000  0.0000 [2 per cell]  8 Ir 2.78, 4 P 3.02
P  0.0000  0.0000  0.5000 [2 per cell]  8 Ir 2.78, 4 Sb 3.02
Ir  0.0000  0.5000  0.2500 [4 per cell]  4 Sb 2.78, 4 P 2.78, 4 Ir 3.02

=====

[7]
Below is crystalline La2InW at its relaxed geometry, with properties calculated at the GGA-PBE level.

Energy of formation from the pure elements   0.369 eV per atom
Spin magnetization   0.000 μB/f.u.
Electronic total energy   -6.0180 eV per atom
ρ   9.19 Mg/m³

Cell: 3.7713 3.7713 7.3245 Å, 90.00 90.00 90.00°
Last column: nearest neighbours and their distance in Å.
Space group P4mm (No. 99)
Asymmetric unit:
La  0.0000  0.0000  0.0000 [1 per cell]  1 W 3.05, 4 In 3.24
La  0.5000  0.5000  0.3224 [1 per cell]  1 In 3.11, 4 W 3.28
In  0.5000  0.5000  0.7476 [1 per cell]  4 W 2.92, 5 La 3.11-3.24
W  0.0000  0.0000  0.5838 [1 per cell]  4 In 2.92, 1 La 3.05

=====

[8]
Below is crystalline BeSn2GeH at its relaxed geometry, with properties calculated at the GGA-PBE level.

Spin magnetization   0.000 μB/f.u.
Electronic total energy   -3.0171 eV per atom
ρ   4.19 Mg/m³

Cell: 5.5891 5.5891 4.0565 Å, 90.00 90.00 90.00°
Last column: nearest neighbours and their distance in Å.
Space group P4/mmm (No. 123)
Asymmetric unit:
Be  0.0000  0.0000  0.0000 [1 per cell]  2 Ge 2.03
Sn  0.0000  0.5000  0.5000 [2 per cell]  2 Ge 2.79
Ge  0.0000  0.0000  0.5000 [1 per cell]  2 Be 2.03
H  0.5000  0.5000  0.0000 [1 per cell]  8 Sn 3.45

=====

[9]
Below is crystalline Pr8Ir3I3N at its relaxed geometry, with properties calculated at the GGA-PBE level.

ΔE_f (raw)   -0.824 eV per atom
Spin magnetization   0.000 μB/f.u.
Electronic total energy   -6.0106 eV per atom
ρ   7.16 Mg/m³

Cell: 8.2881 8.2881 24.5469 Å, 90.00 90.00 120.00°
Last column: nearest neighbours and their distance in Å.
Space group R-3m (No. 166, hexagonal axes)
Asymmetric unit:
Pr  0.0000  0.0000  0.2290 [6 per cell]  3 Ir 2.84
Pr  0.0228  0.5114  0.2252 [18 per cell]  1 N 2.65, 2 Ir 2.87
Ir  0.0000  0.5000  0.5000 [9 per cell]  6 Pr 2.84-2.87
I  0.0000  0.5000  0.0000 [9 per cell]  6 Pr 3.50-3.52
N  0.0000  0.0000  0.5000 [3 per cell]  6 Pr 2.65

=====

[10]
Below is crystalline PmTh2Ge3Pt4 at its relaxed geometry, with properties calculated at the GGA-PBE level.

Energy of formation from the pure elements   -0.910 eV per atom
Spin magnetization   0.000 μB/f.u.
Electronic total energy   -6.6702 eV per atom
ρ   12.58 Mg/m³

Cell: 4.3258 4.3258 11.3375 Å, 90.00 90.00 90.00°
Last column: nearest neighbours and their distance in Å.
Space group P-4m2 (No. 115)
Asymmetric unit:
Pm  0.0000  0.0000  0.0000 [1 per cell]  4 Pt 2.85, 4 Ge 3.06
Th  0.0000  0.5000  0.7161 [2 per cell]  4 Ge 3.24, 8 Pt 3.27-3.35
Ge  0.0000  0.5000  0.3789 [2 per cell]  5 Pt 2.45-2.56
Ge  0.5000  0.5000  0.0000 [1 per cell]  4 Pt 2.85, 4 Pm 3.06
Pt  0.0000  0.0000  0.5000 [1 per cell]  4 Ge 2.56
Pt  0.0000  0.5000  0.1631 [2 per cell]  1 Ge 2.45
Pt  0.5000  0.5000  0.5000 [1 per cell]  4 Ge 2.56

=====

[11]
Below is crystalline Be2Zn2P at its relaxed geometry, with properties calculated at the GGA-PBE level.

Energy of formation from the pure elements   0.340 eV per atom
Spin magnetization   0.000 μB/f.u.
Electronic total energy   -2.7419 eV per atom
ρ   4.69 Mg/m³

Cell: 7.1959 7.1959 2.4576 Å, 90.00 90.00 90.00°
Last column: nearest neighbours and their distance in Å.
Space group P4/mbm (No. 127)
Asymmetric unit:
Be  0.1066  0.3934  0.0000 [4 per cell]  1 Be 2.17
Zn  0.1862  0.6862  0.5000 [4 per cell]  6 Be 2.44-2.51, 2 Zn 2.46, 2 P 2.63
P  0.0000  0.0000  0.5000 [2 per cell]  2 P 2.46, 4 Zn 2.63

=====

[12]
Below is crystalline Na2AlZn3Ge4 at its relaxed geometry, with properties calculated at the GGA-PBE level.

Energy of formation from the pure elements   -0.094 eV per atom
Spin magnetization   0.000 μB/f.u.
Electronic total energy   -2.9608 eV per atom
ρ   4.70 Mg/m³

Cell: 4.2212 4.2212 11.1036 Å, 90.00 90.00 90.00°
Last column: nearest neighbours and their distance in Å.
Space group P-4m2 (No. 115)
Asymmetric unit:
Na  0.0000  0.5000  0.2457 [2 per cell]  6 Zn 3.21-3.53, 8 Ge 3.26-3.45, 2 Al 3.53
Al  0.0000  0.0000  0.5000 [1 per cell]  4 Ge 2.60
Zn  0.0000  0.5000  0.8597 [2 per cell]  5 Ge 2.47-2.62
Zn  0.5000  0.5000  0.5000 [1 per cell]  4 Ge 2.60
Ge  0.0000  0.0000  0.0000 [1 per cell]  4 Zn 2.62
Ge  0.0000  0.5000  0.6370 [2 per cell]  3 Zn 2.47-2.60, 2 Al 2.60
Ge  0.5000  0.5000  0.0000 [1 per cell]  4 Zn 2.62